Compound: Rb2UAs4
Source: OQMD
Functional: GGA-PBE
Structure: relaxed

* total energy: -30.1 eV/f.u.
* crystal system: tetragonal
* mass density: 4.51 Mg/m³

Cell lengths 7.371, 7.371, 7.371 Å; angles 98.32, 98.32, 135.28 degrees
Atoms (fractional coordinates):
Rb1 0.250 0.750 0.500
Rb2 0.750 0.250 0.500
U1 0.000 0.000 0.000
As1 0.318 0.500 0.818
As2 0.500 0.318 0.818
As3 0.500 0.682 0.182
As4 0.682 0.500 0.182